[1]
Here is a geometry-optimized PtC structure from Alexandria. Energies are from PBE-GGA.

CIF file:
```
data_PtC
_cell_length_a 4.4933
_cell_length_b 4.4933
_cell_length_c 4.4933
_cell_angle_alpha 90.00
_cell_angle_beta 90.00
_cell_angle_gamma 90.00
_symmetry_space_group_name_H-M 'P 1'
_symmetry_Int_Tables_number 1
loop_
_symmetry_equiv_pos_as_xyz
'x,y,z'
loop_
_atom_site_label
_atom_site_type_symbol
_atom_site_fract_x
_atom_site_fract_y
_atom_site_fract_z
Pt1 Pt 0.4816 0.9816 0.5184
Pt2 Pt 0.9816 0.5184 0.4816
Pt3 Pt 0.5184 0.4816 0.9816
Pt4 Pt 0.0184 0.0184 0.0184
C1 C 0.5617 0.9383 0.0617
C2 C 0.0617 0.5617 0.9383
C3 C 0.9383 0.0617 0.5617
C4 C 0.4383 0.4383 0.4383
```

Properties
DOS(E_F) = 0.22 states/eV per cell
SG = P2_13
formation energy = 1.2986 eV/atom

[2]
Here is a geometry-optimized Pt3C structure from Alexandria. Energies are from PBE-GGA.

CIF file:
```
data_Pt3C
_cell_length_a 5.0000
_cell_length_b 5.0000
_cell_length_c 5.0000
_cell_angle_alpha 116.64
_cell_angle_beta 116.64
_cell_angle_gamma 116.64
_symmetry_space_group_name_H-M 'P 1'
_symmetry_Int_Tables_number 1
loop_
_symmetry_equiv_pos_as_xyz
'x,y,z'
loop_
_atom_site_label
_atom_site_type_symbol
_atom_site_fract_x
_atom_site_fract_y
_atom_site_fract_z
C1 C 0.0000 0.0000 0.0000
Pt1 Pt 0.5000 0.0000 0.5000
Pt2 Pt 0.5000 0.5000 0.0000
Pt3 Pt 0.0000 0.5000 0.5000
```

Properties
DOS(E_F) = 4.43 states/eV per cell
SG = R-3m
formation energy = 1.3592 eV/atom

[3]
Here is a geometry-optimized Pt5C7 structure from Alexandria. Energies are from PBE-GGA.

CIF file:
```
data_Pt5C7
_cell_length_a 6.1209
_cell_length_b 6.1209
_cell_length_c 6.1209
_cell_angle_alpha 97.49
_cell_angle_beta 97.49
_cell_angle_gamma 137.67
_symmetry_space_group_name_H-M 'P 1'
_symmetry_Int_Tables_number 1
loop_
_symmetry_equiv_pos_as_xyz
'x,y,z'
loop_
_atom_site_label
_atom_site_type_symbol
_atom_site_fract_x
_atom_site_fract_y
_atom_site_fract_z
C1 C 0.9832 0.6128 0.3703
C2 C 0.8624 0.3624 0.5000
C3 C 0.6128 0.9832 0.3703
Pt1 Pt 0.0757 0.0757 0.0000
C4 C 0.3624 0.8624 0.5000
Pt2 Pt 0.4340 0.7860 0.0000
Pt3 Pt 0.7860 0.4340 0.0000
C5 C 0.2425 0.6128 0.6297
Pt4 Pt 0.4340 0.4340 0.6479
Pt5 Pt 0.7860 0.7860 0.3521
C6 C 0.5082 0.5082 0.0000
C7 C 0.6128 0.2425 0.6297
```

Properties
DOS(E_F) = 4.47 states/eV per cell
SG = I4mm
formation energy = 0.7366 eV/atom

[4]
Here is a geometry-optimized Pt4C23 structure from Alexandria. Energies are from PBE-GGA.

CIF file:
```
data_Pt4C23
_cell_length_a 7.2401
_cell_length_b 7.2401
_cell_length_c 7.2401
_cell_angle_alpha 90.00
_cell_angle_beta 90.00
_cell_angle_gamma 90.00
_symmetry_space_group_name_H-M 'P 1'
_symmetry_Int_Tables_number 1
loop_
_symmetry_equiv_pos_as_xyz
'x,y,z'
loop_
_atom_site_label
_atom_site_type_symbol
_atom_site_fract_x
_atom_site_fract_y
_atom_site_fract_z
C1 C 0.6954 0.0000 0.8675
Pt1 Pt 0.0000 0.5000 0.2500
C2 C 0.5000 0.8046 0.3675
C3 C 0.8046 0.3675 0.5000
C4 C 0.3132 0.3132 0.6868
C5 C 0.1868 0.1868 0.8132
C6 C 0.5000 0.1954 0.6325
C7 C 0.3132 0.6868 0.3132
C8 C 0.0000 0.1325 0.6954
C9 C 0.3046 0.0000 0.8675
C10 C 0.8675 0.3046 0.0000
C11 C 0.3132 0.6868 0.6868
C12 C 0.0000 0.2500 0.5000
C13 C 0.6325 0.5000 0.1954
C14 C 0.8132 0.8132 0.1868
C15 C 0.6868 0.3132 0.3132
C16 C 0.6868 0.3132 0.6868
C17 C 0.1868 0.8132 0.1868
C18 C 0.5000 0.8046 0.6325
C19 C 0.1954 0.6325 0.5000
Pt2 Pt 0.5000 0.7500 0.0000
C20 C 0.6954 0.0000 0.1325
C21 C 0.5000 0.1954 0.3675
C22 C 0.1868 0.8132 0.8132
C23 C 0.8132 0.8132 0.8132
C24 C 0.1325 0.3046 0.0000
C25 C 0.2500 0.5000 0.0000
C26 C 0.1868 0.1868 0.1868
C27 C 0.0000 0.7500 0.5000
C28 C 0.3675 0.5000 0.1954
C29 C 0.7500 0.5000 0.0000
C30 C 0.6868 0.6868 0.3132
C31 C 0.1325 0.6954 0.0000
Pt3 Pt 0.5000 0.5000 0.5000
C32 C 0.3046 0.0000 0.1325
C33 C 0.3675 0.5000 0.8046
Pt4 Pt 0.0000 0.5000 0.7500
C34 C 0.0000 0.8675 0.6954
C35 C 0.1954 0.3675 0.5000
Pt5 Pt 0.5000 0.2500 0.0000
C36 C 0.8675 0.6954 0.0000
C37 C 0.8046 0.6325 0.5000
C38 C 0.5000 0.0000 0.7500
Pt6 Pt 0.0000 0.0000 0.0000
C39 C 0.6325 0.5000 0.8046
C40 C 0.6868 0.6868 0.6868
Pt7 Pt 0.2500 0.0000 0.5000
C41 C 0.8132 0.1868 0.8132
C42 C 0.8132 0.1868 0.1868
C43 C 0.0000 0.8675 0.3046
C44 C 0.5000 0.0000 0.2500
C45 C 0.3132 0.3132 0.3132
Pt8 Pt 0.7500 0.0000 0.5000
C46 C 0.0000 0.1325 0.3046
```

Properties
DOS(E_F) = 17.39 states/eV per cell
SG = Pm-3n
formation energy = 1.6037 eV/atom

[5]
Here is a geometry-optimized PtC3 structure from Alexandria. Energies are from PBE-GGA.

CIF file:
```
data_PtC3
_cell_length_a 5.6355
_cell_length_b 5.6260
_cell_length_c 5.6260
_cell_angle_alpha 150.70
_cell_angle_beta 76.56
_cell_angle_gamma 111.12
_symmetry_space_group_name_H-M 'P 1'
_symmetry_Int_Tables_number 1
loop_
_symmetry_equiv_pos_as_xyz
'x,y,z'
loop_
_atom_site_label
_atom_site_type_symbol
_atom_site_fract_x
_atom_site_fract_y
_atom_site_fract_z
Pt1 Pt 0.8332 0.0000 0.8332
C1 C 0.3335 0.5000 0.8335
C2 C 0.5351 0.7016 0.8334
C3 C 0.1316 0.2984 0.8333
```

Properties
DOS(E_F) = 1.15 states/eV per cell
SG = Immm
formation energy = 1.2277 eV/atom

[6]
Here is a geometry-optimized PtC structure from Alexandria. Energies are from PBE-GGA.

CIF file:
```
data_PtC
_cell_length_a 5.4816
_cell_length_b 5.4816
_cell_length_c 5.2544
_cell_angle_alpha 64.19
_cell_angle_beta 64.19
_cell_angle_gamma 32.03
_symmetry_space_group_name_H-M 'P 1'
_symmetry_Int_Tables_number 1
loop_
_symmetry_equiv_pos_as_xyz
'x,y,z'
loop_
_atom_site_label
_atom_site_type_symbol
_atom_site_fract_x
_atom_site_fract_y
_atom_site_fract_z
C1 C 0.3250 0.3250 0.9146
C2 C 0.9874 0.9874 0.1060
Pt1 Pt 0.9644 0.9644 0.7256
C3 C 0.6431 0.6431 0.4011
Pt2 Pt 0.6303 0.6303 0.0076
Pt3 Pt 0.2832 0.2832 0.3451
```

Properties
DOS(E_F) = 1.85 states/eV per cell
SG = Cm
formation energy = 1.2834 eV/atom

[7]
Here is a geometry-optimized Pt7C6 structure from Alexandria. Energies are from PBE-GGA.

CIF file:
```
data_Pt7C6
_cell_length_a 7.3322
_cell_length_b 7.3322
_cell_length_c 7.3322
_cell_angle_alpha 49.05
_cell_angle_beta 49.05
_cell_angle_gamma 49.05
_symmetry_space_group_name_H-M 'P 1'
_symmetry_Int_Tables_number 1
loop_
_symmetry_equiv_pos_as_xyz
'x,y,z'
loop_
_atom_site_label
_atom_site_type_symbol
_atom_site_fract_x
_atom_site_fract_y
_atom_site_fract_z
C1 C 0.8077 0.8077 0.8077
C2 C 0.3878 0.3878 0.3878
Pt1 Pt 0.5865 0.5865 0.0340
C3 C 0.1235 0.1235 0.1235
Pt2 Pt 0.4135 0.4135 0.9660
C4 C 0.6122 0.6122 0.6122
C5 C 0.8765 0.8765 0.8765
Pt3 Pt 0.5000 0.5000 0.5000
C6 C 0.1923 0.1923 0.1923
Pt4 Pt 0.5865 0.0340 0.5865
Pt5 Pt 0.0340 0.5865 0.5865
Pt6 Pt 0.9660 0.4135 0.4135
Pt7 Pt 0.4135 0.9660 0.4135
```

Properties
DOS(E_F) = 11.27 states/eV per cell
SG = R-3m
formation energy = 1.1677 eV/atom

[8]
Here is a geometry-optimized PtC structure from Alexandria. Energies are from PBE-GGA.

CIF file:
```
data_PtC
_cell_length_a 3.7797
_cell_length_b 3.7797
_cell_length_c 7.7699
_cell_angle_alpha 90.00
_cell_angle_beta 90.00
_cell_angle_gamma 130.01
_symmetry_space_group_name_H-M 'P 1'
_symmetry_Int_Tables_number 1
loop_
_symmetry_equiv_pos_as_xyz
'x,y,z'
loop_
_atom_site_label
_atom_site_type_symbol
_atom_site_fract_x
_atom_site_fract_y
_atom_site_fract_z
C1 C 0.5000 0.5000 0.6474
C2 C 0.0000 0.0000 0.1026
Pt1 Pt 0.0000 0.0000 0.5243
Pt2 Pt 0.5000 0.5000 0.2257
```

Properties
DOS(E_F) = 1.91 states/eV per cell
SG = Cmme
formation energy = 1.6578 eV/atom

[9]
Here is a geometry-optimized Pt7C5 structure from Alexandria. Energies are from PBE-GGA.

CIF file:
```
data_Pt7C5
_cell_length_a 6.6857
_cell_length_b 6.6857
_cell_length_c 6.6857
_cell_angle_alpha 98.22
_cell_angle_beta 98.22
_cell_angle_gamma 135.57
_symmetry_space_group_name_H-M 'P 1'
_symmetry_Int_Tables_number 1
loop_
_symmetry_equiv_pos_as_xyz
'x,y,z'
loop_
_atom_site_label
_atom_site_type_symbol
_atom_site_fract_x
_atom_site_fract_y
_atom_site_fract_z
Pt1 Pt 0.0244 0.5244 0.5000
Pt2 Pt 0.5590 0.7907 0.7684
C1 C 0.6782 0.1136 0.0000
Pt3 Pt 0.0223 0.7907 0.2316
Pt4 Pt 0.3913 0.3913 0.0000
C2 C 0.1136 0.1136 0.4353
Pt5 Pt 0.7907 0.0223 0.2316
C3 C 0.0136 0.0136 0.0000
Pt6 Pt 0.5244 0.0244 0.5000
C4 C 0.6782 0.6782 0.5647
Pt7 Pt 0.7907 0.5590 0.7684
C5 C 0.1136 0.6782 0.0000
```

Properties
DOS(E_F) = 8.75 states/eV per cell
SG = I4mm
formation energy = 1.6837 eV/atom

[10]
Here is a geometry-optimized PtC4 structure from Alexandria. Energies are from PBE-GGA.

CIF file:
```
data_PtC4
_cell_length_a 4.1992
_cell_length_b 4.1992
_cell_length_c 4.1992
_cell_angle_alpha 109.47
_cell_angle_beta 109.47
_cell_angle_gamma 109.47
_symmetry_space_group_name_H-M 'P 1'
_symmetry_Int_Tables_number 1
loop_
_symmetry_equiv_pos_as_xyz
'x,y,z'
loop_
_atom_site_label
_atom_site_type_symbol
_atom_site_fract_x
_atom_site_fract_y
_atom_site_fract_z
C1 C 0.5000 0.0000 0.0000
C2 C 0.5000 0.5000 0.5000
C3 C 0.0000 0.5000 0.0000
Pt1 Pt 0.0000 0.0000 0.0000
C4 C 0.0000 0.0000 0.5000
```

Properties
DOS(E_F) = 5.14 states/eV per cell
SG = Im-3m
formation energy = 3.6048 eV/atom

[11]
Here is a geometry-optimized Pt5C4 structure from Alexandria. Energies are from PBE-GGA.

CIF file:
```
data_Pt5C4
_cell_length_a 7.1866
_cell_length_b 7.1866
_cell_length_c 7.1866
_cell_angle_alpha 92.36
_cell_angle_beta 92.36
_cell_angle_gamma 156.58
_symmetry_space_group_name_H-M 'P 1'
_symmetry_Int_Tables_number 1
loop_
_symmetry_equiv_pos_as_xyz
'x,y,z'
loop_
_atom_site_label
_atom_site_type_symbol
_atom_site_fract_x
_atom_site_fract_y
_atom_site_fract_z
Pt1 Pt 0.6679 0.6679 0.3358
C1 C 0.2164 0.0000 0.2164
Pt2 Pt 0.3321 0.6679 0.0000
Pt3 Pt 0.6679 0.3321 0.0000
Pt4 Pt 0.0000 0.0000 0.0000
C2 C 0.0000 0.2164 0.2164
C3 C 0.7836 0.0000 0.7836
Pt5 Pt 0.3321 0.3321 0.6642
C4 C 0.0000 0.7836 0.7836
```

Properties
DOS(E_F) = 6.87 states/eV per cell
SG = I4/mmm
formation energy = 1.6189 eV/atom

[12]
Here is a geometry-optimized PtC3 structure from Alexandria. Energies are from PBE-GGA.

CIF file:
```
data_PtC3
_cell_length_a 3.2525
_cell_length_b 3.2526
_cell_length_c 5.1699
_cell_angle_alpha 108.39
_cell_angle_beta 108.39
_cell_angle_gamma 59.96
_symmetry_space_group_name_H-M 'P 1'
_symmetry_Int_Tables_number 1
loop_
_symmetry_equiv_pos_as_xyz
'x,y,z'
loop_
_atom_site_label
_atom_site_type_symbol
_atom_site_fract_x
_atom_site_fract_y
_atom_site_fract_z
C1 C 0.5915 0.5915 0.7725
C2 C 0.5000 0.5000 0.5000
C3 C 0.4085 0.4085 0.2275
Pt1 Pt 0.0000 0.0000 0.0000
```

Properties
DOS(E_F) = 0.83 states/eV per cell
SG = R-3m
formation energy = 0.9252 eV/atom